Below is an optimized crystal structure of GaSi3, with properties calculated at the GGA-PBE level.

Unit cell a=5.4769 b=5.7676 c=5.8451 alpha=114.56 beta=104.72 gamma=105.29
Last column: nearest neighbours and their distance in Å.
Element x y z (fractional)
Ga 0.0000 0.0000 0.0000  3 Si 2.42-2.59, 1 Ga 2.58
Ga 0.4861 0.6651 0.8147  2 Si 2.45-2.59, 1 Ga 2.58
Si 0.1450 0.8310 0.6030  3 Si 2.34-2.53, 2 Ga 2.54-2.59
Si 0.1478 0.1764 0.4908  2 Si 2.34-2.38, 2 Ga 2.42-2.45
Si 0.3814 0.7025 0.2797  4 Si 2.40-2.53
Si 0.6888 0.4739 0.2841  4 Si 2.37-2.40
Si 0.7071 0.1761 0.4655  4 Si 2.37-2.41
Si 0.8972 0.3977 0.9599  3 Si 2.40-2.43, 1 Ga 2.59

## Properties
Total DFT energy (no corrections) (eV per cell): -36.7
E_form (uncorrected) (eV/atom): 0.240